# Mn2FeO4 | the Alexandria database | PBE with a Hubbard U | relaxed
# **Density**: 4.9 g/cm³
# **M_tot**: 20.00 μB per cell
# **Total energy**: -7.104 eV per atom
# **Relative energy among the computed polymorphs**: 0.242 eV/atom
# **Volume**: 11.169 Å³/atom
data_Mn2FeO4
_chemical_formula_sum 'Mn4 Fe2 O8'
_space_group_name_H-M_alt 'C m m m'
_space_group_IT_number 65
_space_group_name_Hall '-C 2 2'
_cell_length_a 6.276
_cell_length_b 8.173
_cell_length_c 3.049
_cell_angle_alpha 90.00
_cell_angle_beta 90.00
_cell_angle_gamma 90.00
loop_
_atom_site_label
_atom_site_type_symbol
_atom_site_fract_x
_atom_site_fract_y
_atom_site_fract_z
Mn1 Mn 0.250 0.250 0.000
Fe1 Fe 0.000 0.000 0.500
O1 O 0.000 0.238 0.500
O2 O 0.203 0.000 0.000